Entry 1:
# Pu2PdRu2 (PBE, optimized geometry)
# Total DFT energy (no corrections) (Ry/atom): -0.786
# Formation energy (meV/atom): -209
# Fermi-level density of states (states/eV/cell): 24.57
data_Pu2PdRu2
_chemical_formula_sum 'Pu4 Pd2 Ru4'
_space_group_name_H-M_alt 'P 4/m b m'
_space_group_IT_number 127
_space_group_name_Hall '-P 4 2ab'
_cell_length_a 7.204
_cell_length_b 7.204
_cell_length_c 3.688
_cell_angle_alpha 90.00
_cell_angle_beta 90.00
_cell_angle_gamma 90.00
loop_
_atom_site_label
_atom_site_fract_x
_atom_site_fract_y
_atom_site_fract_z
Pu1 0.173 0.327 0.000
Pd1 0.000 0.000 0.500
Ru1 0.138 0.638 0.500

---

Entry 2:
# Pu3PdRu (PBE, optimized geometry)
# Total DFT energy (no corrections) (Ry/atom): -0.860
# Formation energy (meV/atom): -210
# Fermi-level density of states (states/eV/cell): 141.89
data_Pu3PdRu
_chemical_formula_sum 'Pu24 Pd8 Ru8'
_space_group_name_H-M_alt 'F m m m'
_space_group_IT_number 69
_space_group_name_Hall '-F 2 2'
_cell_length_a 6.437
_cell_length_b 9.013
_cell_length_c 15.330
_cell_angle_alpha 90.00
_cell_angle_beta 90.00
_cell_angle_gamma 90.00
loop_
_atom_site_label
_atom_site_fract_x
_atom_site_fract_y
_atom_site_fract_z
Pu1 0.000 0.000 0.191
Pu2 0.000 0.191 0.401
Pd1 0.204 0.000 0.000
Ru1 0.250 0.250 0.250

---

Entry 3:
# Pu4PdRu2 (PBE, optimized geometry)
# Total DFT energy (no corrections) (Ry/atom): -0.846
# Formation energy (meV/atom): 67
# Fermi-level density of states (states/eV/cell): 48.44
data_Pu4PdRu2
_chemical_formula_sum 'Pu8 Pd2 Ru4'
_space_group_name_H-M_alt 'C 1 2/m 1'
_space_group_IT_number 12
_cell_length_a 7.996
_cell_length_b 7.456
_cell_length_c 5.414
_cell_angle_alpha 90.00
_cell_angle_beta 97.62
_cell_angle_gamma 90.00
loop_
_space_group_symop_operation_xyz
'x,y,z'
'-x,-y,-z'
'-x,y,-z'
'x,-y,z'
'x+1/2,y+1/2,z'
'-x+1/2,-y+1/2,-z'
'-x+1/2,y+1/2,-z'
'x+1/2,-y+1/2,z'
loop_
_atom_site_label
_atom_site_fract_x
_atom_site_fract_y
_atom_site_fract_z
Pu1 0.000 0.205 0.000
Pu2 0.250 0.250 0.500
Pd1 0.000 0.000 0.500
Ru1 0.083 0.500 0.746